A crystal of Mn3Pt relaxed with PBEsol. Source: the Alexandria database, functional meta-GGA SCAN.

The structure in POSCAR format:
```
Mn3Pt
1.0
5.1476 0.0000 0.0000
-2.5738 4.4580 0.0000
0.0000 0.0000 3.9990
Mn Pt
6 2
direct
0.1515 0.3030 0.2500
0.1515 0.8485 0.2500
0.3030 0.1515 0.7500
0.6970 0.8485 0.2500
0.8485 0.1515 0.7500
0.8485 0.6970 0.7500
0.3333 0.6667 0.7500
0.6667 0.3333 0.2500
```

## Properties
As for the size of the total moment: 0.0 μB/f.u. The value obtained for the formation energy is -3.21 kcal/mol of atoms. The final energy is -31.38 eV/atom. The symmetry is P6_3/mmc, No. 194.